Here is a relaxed structure of TbPr2ThN4 from the Alexandria database. Energies are from PBE.

Computed properties:
Space-group type: P2/m, No. 10
Energy relative to the elements, uncorrected: -1152.3 kJ/mol of formula units
Final energy: -8.3566 eV/atom

Geometry as extended XYZ:
```
8
Lattice="6.2759 0.0000 0.0000 0.0000 3.6422 0.0000 -2.0857 0.0000 5.9562" Properties=species:S:1:pos:R:3 pbc="T T T"
Tb 0.0000 0.0000 0.0000
Pr -1.0429 1.8211 2.9781
Pr 2.0951 0.0000 2.9781
Th 3.1380 1.8211 0.0000
N 1.0611 1.8211 1.3989
N 0.0075 0.0000 4.5634
N 4.1827 0.0000 1.3928
N 3.1290 1.8211 4.5573
```

Here is a relaxed structure of YCd2CuSb from the Alexandria database. Energies are from PBE.

Computed properties:
Space-group type: P4/mmm, No. 123
Energy relative to the elements, uncorrected: 276.8 kJ/mol of formula units
Final energy: -2.7288 eV/atom

Geometry as extended XYZ:
```
5
Lattice="5.4647 0.0000 0.0000 0.0000 5.4647 0.0000 0.0000 0.0000 5.7606" Properties=species:S:1:pos:R:3 pbc="T T T"
Y 0.0000 0.0000 0.0000
Cd 0.0000 2.7324 2.8803
Cd 2.7324 0.0000 2.8803
Cu 2.7324 2.7324 0.0000
Sb 0.0000 0.0000 2.8803
```

Here is a relaxed structure of ReAs from the Alexandria database. Energies are from PBE.

Computed properties:
E above lowest polymorph: 278 meV/atom
Energy of formation: 0.7 eV per formula unit
Space-group type: P6_3/mmc, No. 194
Final energy: -8.1957 eV/atom

Geometry as extended XYZ:
```
4
Lattice="3.9749 0.0000 0.0000 -1.9875 3.4424 0.0000 0.0000 0.0000 5.0881" Properties=species:S:1:pos:R:3 pbc="T T T"
Re 0.0000 0.0000 0.0000
Re 0.0000 0.0000 2.5441
As 0.0000 2.2949 1.2720
As 1.9875 1.1475 3.8161
```

Here is a relaxed structure of CaPr2Zn2Sn2 from the Alexandria database. Energies are from PBE.

Computed properties:
Energy of formation: -2.5 eV per formula unit
Space-group type: R-3m, No. 166
Final energy: -3.5228 eV/atom

Geometry as extended XYZ:
```
7
Lattice="2.3674 1.3668 9.8421 -2.3674 1.3668 9.8421 0.0000 -2.7336 9.8421" Properties=species:S:1:pos:R:3 pbc="T T T"
Ca 0.0000 0.0000 0.0000
Pr 0.0000 0.0000 3.8291
Pr 0.0000 0.0000 25.6972
Zn 0.0000 0.0000 12.2320
Zn 0.0000 0.0000 17.2943
Sn 0.0000 0.0000 7.8367
Sn 0.0000 0.0000 21.6896
```

Here is a relaxed structure of AcPr2Nd from the Alexandria database. Energies are from PBE.

Computed properties:
E above lowest polymorph: 121 meV/atom
Energy of formation: 0.6 eV per formula unit
Space-group type: Fm-3m, No. 225
Final energy: -4.4705 eV/atom

Geometry as extended XYZ:
```
4
Lattice="0.0000 4.2424 4.2424 4.2424 0.0000 4.2424 4.2424 4.2424 0.0000" Properties=species:S:1:pos:R:3 pbc="T T T"
Ac 0.0000 0.0000 0.0000
Pr 2.1212 2.1212 2.1212
Pr 6.3636 6.3636 6.3636
Nd 4.2424 4.2424 4.2424
```

Here is a relaxed structure of BaLiMgPt from the Alexandria database. Energies are from PBE.

Computed properties:
Energy of formation: -2.1 eV per formula unit
Space-group type: Cm, No. 8
Final energy: -3.3840 eV/atom

Geometry as extended XYZ:
```
4
Lattice="4.0429 -2.3391 0.0000 4.0429 2.3391 0.0000 -2.6757 0.0000 5.6358" Properties=species:S:1:pos:R:3 pbc="T T T"
Ba 0.0000 0.0000 0.0000
Li 5.3911 0.0000 2.4424
Mg 2.6960 0.0000 3.0591
Pt -0.0012 0.0000 3.2951
```

Here is a relaxed structure of KLiAg2Br4 from the Alexandria database. Energies are from PBE.

Computed properties:
Space-group type: I222, No. 23
Energy relative to the elements, uncorrected: -756.9 kJ/mol of formula units
Final energy: -2.9062 eV/atom

Geometry as extended XYZ:
```
8
Lattice="-3.6002 3.8707 4.2988 3.6002 -3.8707 4.2988 3.6002 3.8707 -4.2988" Properties=species:S:1:pos:R:3 pbc="T T T"
K 0.0000 0.0000 0.0000
Li 0.0000 0.0000 4.2988
Ag 3.6002 0.0000 2.8005
Ag 0.0000 3.8707 1.4983
Br 2.0869 2.3668 -1.3980
Br 1.5132 -1.5039 5.6967
Br 1.5132 1.5039 2.9008
Br 2.0869 5.3747 1.3980
```

Here is a relaxed structure of Ce4AlGe2 from the Alexandria database. Energies are from PBE.

Computed properties:
Energy of formation: -2.2 eV per formula unit
Space-group type: R-3m, No. 166
Final energy: -5.5519 eV/atom

Geometry as extended XYZ:
```
7
Lattice="2.3341 1.3476 10.1298 -2.3341 1.3476 10.1298 0.0000 -2.6951 10.1298" Properties=species:S:1:pos:R:3 pbc="T T T"
Ce 0.0000 0.0000 3.5188
Ce 0.0000 0.0000 9.3439
Ce 0.0000 0.0000 21.0455
Ce 0.0000 0.0000 26.8706
Al 0.0000 0.0000 15.1947
Ge 0.0000 0.0000 12.3725
Ge 0.0000 0.0000 18.0170
```

Here is a relaxed structure of LaThMo4 from the Alexandria database. Energies are from PBE.

Computed properties:
Energy of formation: 1.2 eV per formula unit
Space-group type: F-43m, No. 216
Final energy: -9.0827 eV/atom

Geometry as extended XYZ:
```
6
Lattice="0.0000 3.9704 3.9704 3.9704 0.0000 3.9704 3.9704 3.9704 0.0000" Properties=species:S:1:pos:R:3 pbc="T T T"
La 0.0000 0.0000 0.0000
Th 1.9852 1.9852 1.9852
Mo 4.9625 2.9782 2.9782
Mo 2.9782 4.9625 2.9782
Mo 2.9782 2.9782 4.9625
Mo 4.9625 4.9625 4.9625
```

Here is a relaxed structure of V4SiRu5 from the Alexandria database. Energies are from PBE.

Computed properties:
Space-group type: P4/mmm, No. 123
Energy relative to the elements, uncorrected: -333.3 kJ/mol of formula units
Final energy: -9.1731 eV/atom

Geometry as extended XYZ:
```
10
Lattice="2.9634 0.0000 0.0000 0.0000 2.9634 0.0000 0.0000 0.0000 15.3031" Properties=species:S:1:pos:R:3 pbc="T T T"
V 0.0000 0.0000 1.5600
V 0.0000 0.0000 4.6327
V 0.0000 0.0000 10.6704
V 0.0000 0.0000 13.7431
Si 0.0000 0.0000 7.6516
Ru 1.4817 1.4817 0.0000
Ru 1.4817 1.4817 3.0190
Ru 1.4817 1.4817 6.2306
Ru 1.4817 1.4817 9.0725
Ru 1.4817 1.4817 12.2841
```

Here is a relaxed structure of HgTeP4 from the Alexandria database. Energies are from PBE.

Computed properties:
Space-group type: F-43m, No. 216
Energy relative to the elements, uncorrected: 249.3 kJ/mol of formula units
Final energy: -3.7498 eV/atom

Geometry as extended XYZ:
```
6
Lattice="0.0000 4.3360 4.3360 4.3360 0.0000 4.3360 4.3360 4.3360 0.0000" Properties=species:S:1:pos:R:3 pbc="T T T"
Hg 0.0000 0.0000 0.0000
Te 2.1680 2.1680 2.1680
P 5.1185 3.5535 3.5535
P 3.5535 5.1185 3.5535
P 3.5535 3.5535 5.1185
P 5.1185 5.1185 5.1185
```

Here is a relaxed structure of KAu from the Alexandria database. Energies are from PBE.

Computed properties:
Energy of formation: -0.5 eV per formula unit
Space-group type: Imma, No. 74
Final energy: -2.4455 eV/atom

Geometry as extended XYZ:
```
4
Lattice="-2.1718 2.5641 5.5471 2.1718 -2.5641 5.5471 2.1718 2.5641 -5.5471" Properties=species:S:1:pos:R:3 pbc="T T T"
K 0.0000 1.2820 1.1737
K 2.1718 1.2820 4.3734
Au 2.1718 1.2820 -1.8063
Au 0.0000 1.2820 7.3534
```

Calculated DOS at the Fermi energy, 0.23; 0.81; 1.18; 0.86; 2.65; 0.57; 0.00; 2.88; 1.14; 1.10; 0.83; 0.15 states/eV per atom (same order as the records).